(1)
ZnFe5 | PBEsol | optimized geometry

abc: 3.959 11.846 2.874
angles: 90.00 90.00 90.00
Space group Cmmm (No. 65)
Asymmetric unit:
Zn  0.000  0.000  0.000 [2 per cell]
Fe  0.000  0.172  0.500 [4 per cell]
Fe  0.000  0.336  0.000 [4 per cell]
Fe  0.000  0.500  0.500 [2 per cell]

Values from the calculation:
E_form = 59 meV/atom

---

(2)
ZnFe | PBEsol | optimized geometry

abc: 5.756 5.756 5.756
angles: 90.00 90.00 90.00
Space group Fd-3m (No. 227, origin choice 2)
Asymmetric unit:
Zn  0.125  0.125  0.125 [8 per cell]
Fe  0.125  0.125  0.625 [8 per cell]

Values from the calculation:
E_form = 73 meV/atom

---

(3)
Zn7Fe | PBEsol | optimized geometry

abc: 7.496 7.496 7.496
angles: 90.00 90.00 90.00
Space group Fm-3m (No. 225)
Asymmetric unit:
Zn  0.000  0.000  0.000 [4 per cell]
Zn  0.000  0.250  0.250 [24 per cell]
Fe  0.000  0.000  0.500 [4 per cell]

Values from the calculation:
E_form = 0 meV/atom

---

(4)
ZnFe | PBEsol | optimized geometry

abc: 9.697 2.516 6.109
angles: 90.00 104.79 90.00
Space group Cm (No. 8)
Asymmetric unit:
Zn  0.000  0.000  0.000 [2 per cell]
Zn  0.061  0.000  0.617 [2 per cell]
Zn  0.390  0.000  0.286 [2 per cell]
Fe  0.172  0.500  0.332 [2 per cell]
Fe  0.224  0.500  0.956 [2 per cell]
Fe  0.328  0.000  0.669 [2 per cell]

Values from the calculation:
E_form = 68 meV/atom

---

(5)
Zn5Fe | PBEsol | optimized geometry

abc: 4.232 2.675 13.899
angles: 90.00 90.00 90.00
Space group Amm2 (No. 38)
Asymmetric unit:
Zn  0.000  0.000  0.000 [2 per cell]
Zn  0.000  0.000  0.321 [2 per cell]
Zn  0.500  0.000  0.109 [2 per cell]
Zn  0.500  0.000  0.438 [2 per cell]
Zn  0.500  0.000  0.767 [2 per cell]
Fe  0.000  0.000  0.661 [2 per cell]

Values from the calculation:
E_form = 16 meV/atom

---

(6)
ZrZn20Fe2 | PBEsol | optimized geometry

abc: 13.649 13.649 13.649
angles: 90.00 90.00 90.00
Space group Fd-3m (No. 227, origin choice 2)
Asymmetric unit:
Zr  0.125  0.125  0.125 [8 per cell]
Zn  0.000  0.000  0.000 [16 per cell]
Zn  0.011  0.375  0.875 [48 per cell]
Zn  0.059  0.059  0.325 [96 per cell]
Fe  0.000  0.000  0.500 [16 per cell]

Values from the calculation:
E_form = -148 meV/atom

---

(7)
ZrFe | PBEsol | optimized geometry

abc: 5.479 5.479 5.479
angles: 90.00 90.00 90.00
Space group F-43m (No. 216)
Asymmetric unit:
Zr  0.000  0.000  0.000 [4 per cell]
Fe  0.250  0.250  0.250 [4 per cell]

Values from the calculation:
E_form = 1426 meV/atom

---

(8)
ZrFe3 | PBEsol | optimized geometry

abc: 2.701 3.923 5.158
angles: 90.00 103.88 90.00
Space group P2/m (No. 10)
Asymmetric unit:
Zr  0.000  0.000  0.000 [1 per cell]
Fe  0.263  0.500  0.714 [2 per cell]
Fe  0.500  0.000  0.500 [1 per cell]

Values from the calculation:
E_form = 102 meV/atom

---

(9)
Zr3Fe | PBEsol | optimized geometry

abc: 3.244 4.850 9.484
angles: 90.00 90.00 90.00
Space group Immm (No. 71)
Asymmetric unit:
Zr  0.000  0.000  0.000 [2 per cell]
Zr  0.000  0.500  0.213 [4 per cell]
Fe  0.000  0.000  0.500 [2 per cell]

Values from the calculation:
E_form = -49 meV/atom

---

(10)
Zr6Fe7 | PBEsol | optimized geometry

abc: 4.9297 4.9297 27.8779
angles: 90.00 90.00 120.00
Space group R-3m (No. 166, hexagonal axes)
Asymmetric unit:
Zr  0.0000  0.0000  0.0512 [6 per cell]
Zr  0.0000  0.0000  0.1525 [6 per cell]
Zr  0.0000  0.0000  0.3331 [6 per cell]
Fe  0.0000  0.0000  0.5000 [3 per cell]
Fe  0.0013  0.5006  0.0948 [18 per cell]

Values from the calculation:
E_form = -186 meV/atom

---

(11)
Zr3Fe | PBEsol | optimized geometry

abc: 6.132 8.869 5.664
angles: 90.00 90.00 90.00
Space group Pnma (No. 62)
Asymmetric unit:
Zr  0.041  0.250  0.145 [4 per cell]
Zr  0.181  0.062  0.668 [8 per cell]
Fe  0.112  0.750  0.427 [4 per cell]

Values from the calculation:
E_form = -125 meV/atom

---

(12)
Zr4Fe | PBEsol | optimized geometry

abc: 7.734 7.734 3.221
angles: 90.00 90.00 90.00
Space group I4/m (No. 87)
Asymmetric unit:
Zr  0.082  0.272  0.000 [8 per cell]
Fe  0.000  0.000  0.500 [2 per cell]

Values from the calculation:
E_form = -57 meV/atom

---

(13)
Zr2Fe | PBEsol | optimized geometry

abc: 3.311 6.025 10.909
angles: 90.00 90.00 90.00
Space group Immm (No. 71)
Asymmetric unit:
Zr  0.000  0.000  0.214 [4 per cell]
Zr  0.000  0.253  0.500 [4 per cell]
Fe  0.000  0.500  0.121 [4 per cell]

Values from the calculation:
E_form = -133 meV/atom

---

(14)
Zr3Fe | PBEsol | optimized geometry

abc: 3.183 3.183 7.323
angles: 90.00 90.00 90.00
Space group P4/mmm (No. 123)
Asymmetric unit:
Zr  0.000  0.000  0.000 [1 per cell]
Zr  0.500  0.500  0.291 [2 per cell]
Fe  0.000  0.000  0.500 [1 per cell]

Values from the calculation:
E_form = -72 meV/atom

---

(15)
Zr3Fe | PBEsol | optimized geometry

abc: 7.805 10.046 3.857
angles: 90.00 90.00 90.00
Space group Cmcm (No. 63)
Asymmetric unit:
Zr  0.000  0.112  0.250 [4 per cell]
Zr  0.193  0.379  0.250 [8 per cell]
Fe  0.000  0.295  0.750 [4 per cell]

Values from the calculation:
E_form = -41 meV/atom

---

(16)
Zr2Fe | PBEsol | optimized geometry

abc: 11.950 11.950 11.950
angles: 90.00 90.00 90.00
Space group Fd-3m (No. 227, origin choice 2)
Asymmetric unit:
Zr  0.000  0.000  0.000 [16 per cell]
Zr  0.063  0.375  0.875 [48 per cell]
Fe  0.031  0.031  0.219 [32 per cell]

Values from the calculation:
E_form = -97 meV/atom

---

(17)
Zr3Fe | PBEsol | optimized geometry

abc: 4.710 4.710 3.283
angles: 90.00 90.00 90.00
Space group P4/mmm (No. 123)
Asymmetric unit:
Zr  0.000  0.000  0.000 [1 per cell]
Zr  0.000  0.500  0.500 [2 per cell]
Fe  0.500  0.500  0.000 [1 per cell]

Values from the calculation:
E_form = 141 meV/atom

---

(18)
Zr3Fe | PBEsol | optimized geometry

abc: 3.121 9.432 5.167
angles: 90.00 90.00 90.00
Space group Imm2 (No. 44)
Asymmetric unit:
Zr  0.000  0.000  0.000 [2 per cell]
Zr  0.000  0.200  0.456 [4 per cell]
Fe  0.000  0.500  0.112 [2 per cell]

Values from the calculation:
E_form = -62 meV/atom

---

(19)
ZrFe4 | PBEsol | optimized geometry

abc: 6.568 6.568 2.969
angles: 90.00 90.00 90.00
Space group I4/m (No. 87)
Asymmetric unit:
Zr  0.000  0.000  0.000 [2 per cell]
Fe  0.106  0.319  0.500 [8 per cell]

Values from the calculation:
E_form = 41 meV/atom

---

(20)
Zr2Fe | PBEsol | optimized geometry

abc: 3.216 13.736 4.738
angles: 90.00 90.00 90.00
Space group Cmcm (No. 63)
Asymmetric unit:
Zr  0.000  0.074  0.250 [4 per cell]
Zr  0.000  0.226  0.750 [4 per cell]
Fe  0.000  0.424  0.250 [4 per cell]

Values from the calculation:
E_form = -96 meV/atom

---

(21)
Ga | PBEsol | optimized geometry

abc: 8.9735 8.9735 16.9235
angles: 90.00 90.00 120.00
Space group R-3m (No. 166, hexagonal axes)
Asymmetric unit:
Ga  0.0000  0.0000  0.0000 [3 per cell]
Ga  0.0000  0.5000  0.0000 [9 per cell]
Ga  0.0142  0.5071  0.6033 [18 per cell]
Ga  0.1007  0.2014  0.1808 [18 per cell]
Ga  0.1014  0.2028  0.5769 [18 per cell]

Values from the calculation:
E_form = 0 meV/atom
ΔE to the lowest computed polymorph = 0 meV/atom

---

(22)
Ga | PBEsol | optimized geometry

abc: 3.296 3.296 3.296
angles: 90.00 90.00 90.00
Space group Im-3m (No. 229)
Asymmetric unit:
Ga  0.000  0.000  0.000 [2 per cell]

Values from the calculation:
E_form = 29 meV/atom
ΔE to the lowest computed polymorph = 29 meV/atom

---

(23)
Ga | PBEsol | optimized geometry

abc: 8.778 8.429 7.236
angles: 90.00 125.63 90.00
Space group C2/m (No. 12)
Asymmetric unit:
Ga  0.000  0.187  0.000 [4 per cell]
Ga  0.016  0.000  0.319 [4 per cell]
Ga  0.120  0.344  0.757 [8 per cell]
Ga  0.172  0.500  0.201 [4 per cell]
Ga  0.250  0.250  0.500 [4 per cell]

Values from the calculation:
E_form = 31 meV/atom
ΔE to the lowest computed polymorph = 31 meV/atom